Below is an optimized crystal structure of Nd5Y2Th, with properties calculated at the PBE level.

```
Nd5Y2Th
1.0
7.273 0.000 0.000
0.000 14.553 0.000
0.000 0.000 5.152
Nd Y Th
10 4 2
Direct
0.000 0.000 0.000
0.006 0.252 0.000
0.247 0.377 0.500
0.253 0.877 0.500
0.494 0.752 0.000
0.500 0.500 0.000
0.506 0.248 0.000
0.747 0.123 0.500
0.753 0.623 0.500
0.994 0.748 0.000
0.241 0.622 0.500
0.259 0.122 0.500
0.741 0.878 0.500
0.759 0.378 0.500
0.000 0.500 0.000
0.500 0.000 0.000
```

The symmetry is Pbam, No. 55. The density of states at the Fermi level comes out at 20.722 states/eV per cell. As for the energy above the lowest structure with this stoichiometry: 0 meV per atom. Its total DFT energy (no corrections) is -87.96 eV for the cell shown. Its size of the total moment is 0.000 μB/f.u. For the formation energy, the calculation gives 0.026 eV per atom. As for the crystal system: orthorhombic.